{"formula": "TaCoBr2", "functional": "PBE-GGA", "state": "optimized geometry", "lattice": [[-6.1405, -0.9221, -6.6996], [-3.2399, -2.0601, -8.2885], [-5.1029, -4.2360, -6.2815]], "species": ["Ta", "Co", "Br", "Br"], "fractional_positions": [[0.7716, 0.7716, 0.7716], [0.4860, 0.4860, 0.4860], [0.2118, 0.2118, 0.2118], [0.0306, 0.0306, 0.0306]], "volume_a3_per_atom": 23.595, "energy_ev_per_atom": -5.851}

---

{"formula": "HgB2C2", "functional": "PBE-GGA", "state": "optimized geometry", "lattice": [[-2.0584, -1.7889, -1.8425], [0.2613, -2.4949, 2.1304], [-6.4881, 0.4533, 3.8687]], "species": ["C", "C", "B", "Hg", "B"], "fractional_positions": [[0.7500, 0.2500, 0.5000], [0.2500, 0.7500, 0.5000], [0.2749, 0.2749, 0.4501], [0.0000, 0.0000, 0.0000], [0.7251, 0.7251, 0.5499]], "volume_a3_per_atom": 15.599, "energy_ev_per_atom": -5.020, "n_ef_per_ev_atom": 0.20, "formation_enthalpy_0k_ev_per_atom": 1.40}

---

{"formula": "Er2ZrBi", "functional": "PBE-GGA", "state": "optimized geometry", "lattice": [[-1.2350, 4.3169, -0.9478], [-4.5364, -1.0527, 1.1165], [0.8328, 1.2374, 4.5507]], "species": ["Zr", "Er", "Bi", "Er"], "fractional_positions": [[0.5000, 0.0000, 0.0000], [0.0000, 0.0000, 0.5000], [0.5000, 0.5000, 0.5000], [0.0000, 0.5000, 0.0000]], "volume_a3_per_atom": 26.311, "energy_ev_per_atom": -5.608, "n_ef_per_ev_atom": 1.33, "formation_enthalpy_0k_ev_per_atom": -0.22}

---

Polymorph energy (0 for the lowest one) for every record listed, in sequence, given in meV per atom: 0, 0, 41.